NaAcP2: optimized geometry, GGA-PBE.

Cell lengths 4.069, 4.868, 4.868 Å; angles 90.00, 90.00, 90.00 degrees
Fractional positions:
Na: 0.500 0.000 0.000
Ac: 0.500 0.500 0.500
P: 0.000 0.500 0.000
P: 0.000 0.000 0.500

Summary:
The volume comes out at 24.1 Å³ per atom. The value obtained for the density of states at the Fermi level is 0.46 states/eV/atom. The energy is -4.623 eV per atom. The value obtained for the magnetization is 0.0 Bohr magnetons per cell. The value obtained for the formation energy from the elements is -561.2 meV per atom.